Entry from Alexandria: a relaxed structure of PaMnNbTc (PBE).

Computed properties:
- Calculated volume: 17.37 Å³ per atom
- Total magnetic moment: 0.60 μB/f.u.
- E_form: -0.032 eV/atom

CIF file:
```
data_PaMnNbTc
_cell_length_a 6.5254
_cell_length_b 6.5254
_cell_length_c 6.5254
_cell_angle_alpha 90.00
_cell_angle_beta 90.00
_cell_angle_gamma 90.00
_symmetry_space_group_name_H-M 'F -4 3 m'
_symmetry_Int_Tables_number 216
_symmetry_space_group_name_Hall 'F -4 2 3'
loop_
_atom_site_label
_atom_site_fract_x
_atom_site_fract_y
_atom_site_fract_z
Pa1 0.0000 0.0000 0.0000
Mn1 0.2500 0.2500 0.2500
Nb1 0.0000 0.0000 0.5000
Tc1 0.2500 0.2500 0.7500
```